(1)
First-principles (GGA-PBE) data for Zr2FeRh2 after structural relaxation, as listed in Alexandria via LeMat-Bulk.

POSCAR file:
```
Zr2FeRh2
1.0
-3.160 5.774 -0.365
-1.234 -1.079 -6.385
-3.412 -1.806 0.964
Fe Zr Rh
2 4 4
Cartesian
-2.197 2.347 -3.375
0.000 0.000 0.000
-2.946 0.775 -0.762
-4.860 2.113 -5.024
-3.098 -0.615 -3.901
-4.708 3.503 -1.885
-3.513 4.294 -4.384
-0.881 0.401 -2.367
-2.211 1.164 -5.642
-2.183 3.531 -1.109
```

D(E_F): 8.921 states/eV/f.u.
DFT formation energy: -0.29 eV/atom
Calculated total energy: -8.35 eV per atom
Space-group type: P4/mbm, No. 127

---

(2)
First-principles (GGA-PBE) data for ZrFe4Rh after structural relaxation, as listed in Alexandria via LeMat-Bulk.

POSCAR file:
```
ZrFe4Rh
1.0
4.866 0.000 0.000
2.433 4.214 0.000
2.433 1.405 3.973
Fe Rh Zr
4 1 1
Cartesian
3.652 3.511 2.482
4.866 2.810 0.500
6.081 3.511 2.482
4.866 1.408 2.482
2.433 1.405 0.993
0.000 0.000 0.000
```

D(E_F): 8.120 states/eV/f.u.
DFT formation energy: -0.20 eV/atom
Calculated total energy: -8.49 eV per atom
Space-group type: F-43m, No. 216

---

(3)
First-principles (GGA-PBE) data for Zr4FeRh3 after structural relaxation, as listed in Alexandria via LeMat-Bulk.

POSCAR file:
```
Zr4FeRh3
1.0
-1.511 -1.627 -2.415
1.186 -2.828 1.164
-10.581 -1.339 7.522
Fe Rh Zr
1 3 4
Cartesian
-0.162 -2.228 -0.625
-8.126 -3.236 5.036
-5.453 -2.897 3.136
-2.780 -2.559 1.236
-9.325 -1.180 6.629
-6.634 -0.840 4.716
-1.257 -0.159 0.894
-3.947 -0.500 2.806
```

D(E_F): 6.724 states/eV/f.u.
DFT formation energy: -0.62 eV/atom
Calculated total energy: -8.71 eV per atom
Space-group type: P4/mmm, No. 123

---

(4)
First-principles (GGA-PBE) data for ZrFeRh2 after structural relaxation, as listed in Alexandria via LeMat-Bulk.

POSCAR file:
```
ZrFeRh2
1.0
-0.286 -3.296 8.110
2.356 -4.234 7.297
2.033 -1.542 8.379
Fe Rh Zr
1 2 1
Cartesian
3.078 -6.803 17.840
2.028 -4.482 11.754
0.024 -0.053 0.139
1.026 -2.268 5.947
```

D(E_F): 3.518 states/eV/f.u.
DFT formation energy: -0.08 eV/atom
Calculated total energy: -8.01 eV per atom
Space-group type: R-3m, No. 166